Record 1
# FeReW2

FeReW2 after structural relaxation (PBE, Alexandria via LeMat-Bulk).

Structure (POSCAR):
```
FeReW2
1.0
3.137 0.000 0.000
0.000 3.137 0.000
0.000 0.000 6.023
Fe Re W
1 1 2
Direct
0.000 0.000 0.000
0.500 0.500 0.248
0.000 0.000 0.499
0.500 0.500 0.772
```

Results
**SG**: No. 99
**Formation enthalpy at 0 K**: 0.12 eV per atom
**VASP energy**: -46.33 eV for the cell shown


Record 2
# FeReW3

FeReW3 after structural relaxation (PBE, Alexandria via LeMat-Bulk).

Structure (POSCAR):
```
FeReW3
1.0
4.402 0.000 0.000
0.000 4.402 0.000
0.000 0.000 4.402
Fe Re W
1 1 3
Direct
0.000 0.000 0.000
0.500 0.500 0.500
0.000 0.000 0.500
0.000 0.500 0.000
0.500 0.000 0.000
```

Results
**SG**: No. 221
**Formation enthalpy at 0 K**: 1.46 eV per atom
**VASP energy**: -52.45 eV for the cell shown


Number 1 is which compound?
FeReW2